[1]
Here is an optimized crystal structure of PuIBr2 from the Alexandria database. Energies are from PBE.

Calculated values
**Volume**: 344.47 Å³ per cell
**Offset from the most stable computed form**: 0 meV per atom
**Fermi-level density of states**: 28.00 states/eV/cell
**Raw formation energy**: -1.31 eV per atom
**Final energy**: -48.921 eV/cell

Unit cell a=12.397 b=7.488 c=3.909 alpha=90.00 beta=108.31 gamma=90.00
Space group C2 (No. 5)
One atom of each set of equivalent atoms:
Pu  0.000  0.000  0.000
I  0.000  0.677  0.500
Br  0.160  0.134  0.660

[2]
Here is an optimized crystal structure of Pu2IBr5 from the Alexandria database. Energies are from PBE.

Calculated values
**Volume**: 504.32 Å³ per cell
**Fermi-level density of states**: 45.65 states/eV/cell
**Raw formation energy**: -1.27 eV per atom
**Final energy**: -97.485 eV/cell

Unit cell a=4.861 b=8.950 c=11.592 alpha=90.00 beta=90.00 gamma=90.00
Space group Immm (No. 71)
One atom of each set of equivalent atoms:
Pu  0.000  0.000  0.243
I  0.000  0.500  0.000
Br  0.000  0.000  0.000
Br  0.000  0.313  0.334

[3]
Here is an optimized crystal structure of Pu2IBr from the Alexandria database. Energies are from PBE.

Calculated values
**Volume**: 337.95 Å³ per cell
**Fermi-level density of states**: 43.65 states/eV/cell
**Raw formation energy**: -0.61 eV per atom
**Final energy**: -103.006 eV/cell

Unit cell a=4.3216 b=4.3216 c=20.8940 alpha=90.00 beta=90.00 gamma=120.00
Space group R-3m (No. 166, hexagonal axes)
One atom of each set of equivalent atoms:
Pu  0.0000  0.0000  0.2424
I  0.0000  0.0000  0.0000
Br  0.0000  0.0000  0.5000

[4]
Here is an optimized crystal structure of PuIBr from the Alexandria database. Energies are from PBE.

Calculated values
**Volume**: 387.46 Å³ per cell
**Offset from the most stable computed form**: 116 meV per atom
**Fermi-level density of states**: 50.78 states/eV/cell
**Raw formation energy**: -1.14 eV per atom
**Final energy**: -83.877 eV/cell

Unit cell a=7.086 b=7.454 c=7.336 alpha=90.00 beta=90.00 gamma=90.00
Space group Ima2 (No. 46)
One atom of each set of equivalent atoms:
Pu  0.000  0.000  0.000
I  0.250  0.165  0.342
Br  0.250  0.683  0.208

[5]
Here is an optimized crystal structure of Pu2IBr3 from the Alexandria database. Energies are from PBE.

Calculated values
**Volume**: 906.28 Å³ per cell
**Fermi-level density of states**: 99.54 states/eV/cell
**Raw formation energy**: -1.32 eV per atom
**Final energy**: -172.558 eV/cell

Unit cell a=16.138 b=4.220 c=14.913 alpha=90.00 beta=116.83 gamma=90.00
Space group C2/m (No. 12)
One atom of each set of equivalent atoms:
Pu  0.244  0.000  0.377
Pu  0.247  0.000  0.884
I  0.115  0.500  0.722
Br  0.128  0.000  0.986
Br  0.133  0.000  0.487
Br  0.136  0.500  0.229

[6]
Here is an optimized crystal structure of Pu2I3Br2 from the Alexandria database. Energies are from PBE.

Calculated values
**Volume**: 501.27 Å³ per cell
**Fermi-level density of states**: 61.28 states/eV/cell
**Raw formation energy**: -1.25 eV per atom
**Final energy**: -90.836 eV/cell

Unit cell a=14.228 b=4.298 c=8.579 alpha=90.00 beta=107.17 gamma=90.00
Space group C2/m (No. 12)
One atom of each set of equivalent atoms:
Pu  0.182  0.000  0.206
I  0.000  0.500  0.000
I  0.130  0.500  0.450
Br  0.182  0.000  0.836

[7]
Here is an optimized crystal structure of PuI3Br from the Alexandria database. Energies are from PBE.

Calculated values
**Volume**: 965.18 Å³ per cell
**Fermi-level density of states**: 42.66 states/eV/cell
**Raw formation energy**: -0.94 eV per atom
**Final energy**: -101.359 eV/cell

Unit cell a=8.725 b=10.078 c=10.977 alpha=90.00 beta=90.00 gamma=90.00
Space group Imma (No. 74)
One atom of each set of equivalent atoms:
Pu  0.250  0.250  0.250
I  0.000  0.250  0.052
I  0.250  0.039  0.750
Br  0.000  0.250  0.418

[8]
Here is an optimized crystal structure of Pu4I5Br2 from the Alexandria database. Energies are from PBE.

Calculated values
**Volume**: 956.10 Å³ per cell
**Fermi-level density of states**: 87.70 states/eV/cell
**Raw formation energy**: -0.98 eV per atom
**Final energy**: -158.451 eV/cell

Unit cell a=20.344 b=4.348 c=10.964 alpha=90.00 beta=99.61 gamma=90.00
Space group C2/m (No. 12)
One atom of each set of equivalent atoms:
Pu  0.022  0.000  0.214
Pu  0.180  0.500  0.513
I  0.000  0.500  0.000
I  0.126  0.000  0.700
I  0.184  0.000  0.285
Br  0.041  0.500  0.386

[9]
Here is an optimized crystal structure of PuIBr from the Alexandria database. Energies are from PBE.

Calculated values
**Volume**: 427.91 Å³ per cell
**Offset from the most stable computed form**: 128 meV per atom
**Fermi-level density of states**: 41.05 states/eV/cell
**Raw formation energy**: -1.13 eV per atom
**Final energy**: -83.734 eV/cell

Unit cell a=7.536 b=7.536 c=7.536 alpha=90.00 beta=90.00 gamma=90.00
Space group F-43m (No. 216)
One atom of each set of equivalent atoms:
Pu  0.000  0.000  0.000
I  0.250  0.250  0.750
Br  0.250  0.250  0.250

[10]
Here is an optimized crystal structure of Pu2I2Br3 from the Alexandria database. Energies are from PBE.

Calculated values
**Volume**: 461.11 Å³ per cell
**Fermi-level density of states**: 59.00 states/eV/cell
**Raw formation energy**: -1.33 eV per atom
**Final energy**: -92.154 eV/cell

Unit cell a=13.581 b=4.253 c=8.673 alpha=90.00 beta=113.03 gamma=90.00
Space group C2/m (No. 12)
One atom of each set of equivalent atoms:
Pu  0.175  0.000  0.217
I  0.157  0.000  0.809
Br  0.000  0.500  0.000
Br  0.134  0.500  0.431

[11]
Here is an optimized crystal structure of PuIBr from the Alexandria database. Energies are from PBE.

Calculated values
**Volume**: 233.89 Å³ per cell
**Offset from the most stable computed form**: 0 meV per atom
**Fermi-level density of states**: 20.25 states/eV/cell
**Raw formation energy**: -1.25 eV per atom
**Final energy**: -42.635 eV/cell

Unit cell a=4.248 b=7.308 c=8.487 alpha=67.10 beta=75.76 gamma=90.00
Space group P-1 (No. 2)
One atom of each set of equivalent atoms:
Pu  0.249  0.254  0.002
I  0.121  0.797  0.263
Br  0.362  0.688  0.773

[12]
Here is an optimized crystal structure of PuI2Br2 from the Alexandria database. Energies are from PBE.

Calculated values
**Volume**: 863.31 Å³ per cell
**Fermi-level density of states**: 34.33 states/eV/cell
**Raw formation energy**: -0.96 eV per atom
**Final energy**: -102.372 eV/cell

Unit cell a=7.605 b=15.066 c=7.535 alpha=90.00 beta=90.00 gamma=90.00
Space group Ibam (No. 72)
One atom of each set of equivalent atoms:
Pu  0.000  0.000  0.250
I  0.241  0.124  0.000
Br  0.211  0.104  0.500

What is the formula in the twelfth record? PuI2Br2

Fermi-level density of states of number 2 (Pu2IBr5)? 45.65 states/eV/cell